Compound: YCrPb2
Source: Alexandria via LeMat-Bulk
Functional: PBE
Structure: optimized geometry

Cell lengths 3.502, 4.643, 6.457 Å; angles 90.00, 98.05, 90.00 degrees
Positions (direct):
Y1 0.000 0.000 0.000
Cr1 0.500 0.000 0.500
Pb1 0.360 0.500 0.739
Pb2 0.640 0.500 0.261

Results
As for the formation energy: 0.087 eV/atom. The density comes out at 8.87 g cm⁻³.

Compound: YCrPb4
Source: Alexandria via LeMat-Bulk
Functional: PBE
Structure: optimized geometry

Cell lengths 6.378, 6.378, 6.378 Å; angles 60.00, 60.00, 60.00 degrees
Positions (direct):
Y1 0.000 0.000 0.000
Cr1 0.750 0.750 0.750
Pb1 0.374 0.374 0.374
Pb2 0.374 0.374 0.877
Pb3 0.374 0.877 0.374
Pb4 0.877 0.374 0.374

Results
As for the formation energy: 0.364 eV/atom. The density comes out at 8.78 g cm⁻³.

Compound: YCrPb2
Source: Alexandria via LeMat-Bulk
Functional: PBE
Structure: optimized geometry

Cell lengths 5.343, 5.343, 5.343 Å; angles 60.00, 60.00, 60.00 degrees
Positions (direct):
Y1 0.000 0.000 0.000
Cr1 0.750 0.750 0.750
Pb1 0.250 0.250 0.250
Pb2 0.500 0.500 0.500

Results
As for the formation energy: 0.257 eV/atom. The density comes out at 8.55 g cm⁻³.

Which value of density does entry 3 give? 8.55 g cm⁻³